First-principles (GGA-PBE) data for crystalline Pm3Ho2Er8 at its relaxed geometry, as listed in Alexandria via LeMat-Bulk.

a = 20.635 Å, b = 5.012 Å, c = 7.922 Å
α = 90.00°, β = 94.41°, γ = 90.00°
Space group C2/m (No. 12)
Symmetry-distinct sites (fractional):
Pm: 0.000 0.000 0.000
Pm: 0.039 0.500 0.306
Ho: 0.231 0.000 0.846
Er: 0.078 0.000 0.614
Er: 0.117 0.500 0.921
Er: 0.156 0.000 0.231
Er: 0.193 0.500 0.539

Computed properties:
The value obtained for the total energy is -4.586 eV/atom. The density of states at the Fermi level comes out at 1.418 states/eV per atom.

---

First-principles (GGA-PBE) data for crystalline PmHo6Er4 at its relaxed geometry, as listed in Alexandria via LeMat-Bulk.

a = 7.550 Å, b = 7.550 Å, c = 13.083 Å
α = 90.00°, β = 90.00°, γ = 90.00°
Space group I-42m (No. 121)
Symmetry-distinct sites (fractional):
Pm: 0.000 0.000 0.000
Ho: 0.000 0.500 0.000
Ho: 0.242 0.242 0.186
Er: 0.163 0.163 0.422

Computed properties:
The value obtained for the total energy is -4.144 eV/atom. The density of states at the Fermi level comes out at 1.394 states/eV per atom.

---

Question: Number 1 is which compound?
Answer: Pm3Ho2Er8